1.
# Np2TiGe4Ir3

Crystalline Np2TiGe4Ir3 at its relaxed geometry (PBE, Alexandria via LeMat-Bulk).

Values from the calculation:
**Crystal system**: tetragonal
**Space group**: P-4m2, No. 115
**Energy of formation**: -41.1 kJ per mole of atoms
**Density of states at the Fermi level**: 23.32 states/eV/f.u.

Lattice parameters (Å, degrees): 4.1368 4.1368 10.7819 90.00 90.00 90.00
Last column: nearest neighbours and their distance in Å.
Fractional coordinates of all 10 atoms:
Ti  0.5000  0.5000  0.5000  4 Ge 2.58
Ir  0.0000  0.5000  0.1293  5 Ge 2.45-2.49
Ir  0.5000  0.0000  0.8707  5 Ge 2.45-2.49
Ir  0.0000  0.0000  0.5000  4 Ge 2.58
Np  0.0000  0.5000  0.7550  8 Ge 3.16-3.36, 6 Ir 3.18-3.44, 2 Ti 3.44
Np  0.5000  0.0000  0.2450  8 Ge 3.16-3.36, 6 Ir 3.18-3.44, 2 Ti 3.44
Ge  0.0000  0.0000  0.0000  4 Ir 2.49
Ge  0.0000  0.5000  0.3567  3 Ir 2.45-2.58, 2 Ti 2.58
Ge  0.5000  0.0000  0.6433  3 Ir 2.45-2.58, 2 Ti 2.58
Ge  0.5000  0.5000  0.0000  4 Ir 2.49



2.
# Np2UGe3Ir4

Crystalline Np2UGe3Ir4 at its relaxed geometry (PBE, Alexandria via LeMat-Bulk).

Values from the calculation:
**Crystal system**: tetragonal
**Space group**: P-4m2, No. 115
**Energy of formation**: -37.6 kJ per mole of atoms
**Density of states at the Fermi level**: 21.70 states/eV/f.u.

Lattice parameters (Å, degrees): 4.1726 4.1726 11.0856 90.00 90.00 90.00
Last column: nearest neighbours and their distance in Å.
Fractional coordinates of all 10 atoms:
Ir  0.5000  0.0000  0.6556  3 Ge 2.45-2.71, 2 U 2.71
Ir  0.0000  0.0000  0.0000  4 Ge 2.50
Ir  0.5000  0.5000  0.0000  4 Ge 2.50
Ir  0.0000  0.5000  0.3444  3 Ge 2.45-2.71, 2 U 2.71
U  0.5000  0.5000  0.5000  4 Ir 2.71, 4 Ge 2.95
Np  0.0000  0.5000  0.7635  8 Ir 3.18-3.35, 4 Ge 3.21
Np  0.5000  0.0000  0.2365  8 Ir 3.18-3.35, 4 Ge 3.21
Ge  0.0000  0.0000  0.5000  4 Ir 2.71, 4 U 2.95
Ge  0.0000  0.5000  0.1234  5 Ir 2.45-2.50
Ge  0.5000  0.0000  0.8766  5 Ir 2.45-2.50



3.
# NpZnGeIr

Crystalline NpZnGeIr at its relaxed geometry (PBE, Alexandria via LeMat-Bulk).

Values from the calculation:
**Crystal system**: cubic
**Space group**: F-43m, No. 216
**Energy of formation**: -3.7 kJ per mole of atoms
**Density of states at the Fermi level**: 11.93 states/eV/f.u.

Lattice parameters (Å, degrees): 4.6319 4.6319 4.6319 60.00 60.00 60.00
Last column: nearest neighbours and their distance in Å.
Fractional coordinates of all 4 atoms:
Ir  0.5000  0.5000  0.5000  4 Ge 2.84, 4 Zn 2.84
Ge  0.2500  0.2500  0.2500  4 Np 2.84, 4 Ir 2.84
Zn  0.7500  0.7500  0.7500  4 Np 2.84, 4 Ir 2.84
Np  0.0000  0.0000  0.0000  4 Zn 2.84, 4 Ge 2.84